No. 1
Material: Ca3Tl5
Method: DFT, PBE
State: optimized geometry

As for the final energy: -41.08 eV per cell. The formation energy is -0.34 eV/atom. For the density of states at the Fermi level, the calculation gives 6.8 states/eV/cell. As for the space group: Cmcm.

Geometry as POSCAR:
```
Ca3Tl5
1.0
-4.782 -1.291 4.495
-0.981 -4.647 -4.710
6.674 -6.665 5.186
Ca Tl
6 10
Cartesian
1.282 -2.065 1.282 Ca
-0.371 -10.539 3.689 Ca
-2.044 -3.709 -2.135 Ca
1.293 -7.041 0.457 Ca
-3.719 -2.230 1.921 Ca
-0.382 -5.562 4.513 Ca
1.966 -8.131 3.776 Tl
-1.055 -4.473 1.195 Tl
2.781 -5.689 5.865 Tl
-3.545 -5.436 3.161 Tl
-1.871 -6.914 -0.894 Tl
4.455 -7.167 1.810 Tl
5.261 -7.734 4.992 Tl
-4.351 -4.869 -0.021 Tl
2.305 -4.782 2.695 Tl
-1.395 -7.821 2.276 Tl
```

No. 2
Material: La3ZnAu
Method: DFT, PBE
State: optimized geometry

As for the final energy: -42.91 eV per cell. The formation energy is -0.42 eV/atom. For the density of states at the Fermi level, the calculation gives 11.0 states/eV/cell. As for the space group: Cmcm.

Geometry as POSCAR:
```
La3ZnAu
1.0
5.255 0.000 1.201
0.000 5.394 0.000
0.417 0.000 10.272
La Zn Au
6 2 2
Cartesian
4.029 1.349 2.310 La
2.396 1.349 9.450 La
3.217 1.349 5.867 La
1.426 4.046 1.599 La
5.050 4.046 9.941 La
0.609 4.046 5.183 La
2.791 4.046 7.729 Zn
1.034 1.349 3.321 Zn
3.637 4.046 4.026 Au
5.442 1.349 8.225 Au
```

No. 3
Material: ZrTi2Br
Method: DFT, PBE
State: optimized geometry

As for the final energy: -50.02 eV per cell. As for the uncorrected formation energy: 0.2502 eV/atom. For the density of states at the Fermi level, the calculation gives 10.6 states/eV/cell. As for the space group: I-42d.

Geometry as POSCAR:
```
ZrTi2Br
1.0
7.814 0.000 0.000
0.000 7.814 0.000
3.907 3.907 2.652
Br Zr Ti
2 2 4
Cartesian
3.907 3.907 0.000 Br
3.907 7.814 1.326 Br
0.000 0.000 0.000 Zr
7.814 3.907 1.326 Zr
5.358 1.953 0.663 Ti
2.456 5.860 0.663 Ti
5.860 6.362 1.989 Ti
9.767 9.265 1.989 Ti
```

No. 4
Material: V2CrTe6
Method: DFT, PBE
State: optimized geometry

As for the final energy: -96.29 eV per cell. As for the uncorrected formation energy: -0.1592 eV/atom. For the density of states at the Fermi level, the calculation gives 13.7 states/eV/cell. As for the space group: P4_2/mnm.

Geometry as POSCAR:
```
V2CrTe6
1.0
-5.735 1.961 -1.999
-1.679 -6.054 -1.121
-4.182 -0.899 11.115
V Cr Te
4 2 12
Cartesian
-5.093 -2.345 2.125 V
-6.502 -2.648 5.870 V
-0.704 -0.151 1.873 V
-3.477 -0.748 9.243 V
-3.707 -2.047 -1.560 Cr
-2.091 -0.449 5.558 Cr
-5.887 -3.015 -0.324 Te
-8.670 -3.613 7.073 Te
-7.281 -3.315 3.374 Te
-4.924 0.358 -1.824 Te
-6.317 0.061 1.875 Te
-7.716 -0.239 5.593 Te
-3.880 -4.753 2.402 Te
-5.279 -5.054 6.120 Te
-2.490 -4.452 -1.297 Te
-4.315 -1.678 4.621 Te
-2.926 -1.380 0.922 Te
-5.709 -1.978 8.319 Te
```

No. 5
Material: AgClF
Method: DFT, PBE
State: optimized geometry

As for the final energy: -17.47 eV per cell. As for the uncorrected formation energy: -0.7213 eV/atom. For the density of states at the Fermi level, the calculation gives 2.5 states/eV/cell. As for the space group: P-1.

Geometry as POSCAR:
```
AgClF
1.0
-0.150 0.857 -4.037
-5.278 -2.906 -1.723
-4.598 3.152 1.339
Ag F Cl
2 2 2
Cartesian
-3.728 1.456 -2.747 Ag
-6.299 -0.354 -1.674 Ag
-2.115 0.736 -0.283 F
-7.911 0.366 -4.138 F
-4.631 -0.699 -3.398 Cl
-5.396 1.802 -1.023 Cl
```

No. 6
Material: K3Ac2CeSe6
Method: DFT, PBE
State: optimized geometry

As for the final energy: -59.59 eV per cell. As for the uncorrected formation energy: -1.7697 eV/atom. For the density of states at the Fermi level, the calculation gives 4.4 states/eV/cell. As for the space group: C2/m.

Geometry as POSCAR:
```
K3Ac2CeSe6
1.0
-4.811 -4.235 4.505
-0.609 -0.360 -7.802
6.833 -4.306 0.977
K Ac Ce Se
3 2 1 6
Cartesian
2.106 -3.160 -5.258 K
-0.693 -5.741 2.938 K
0.706 -4.450 -1.160 K
-2.010 -1.652 -3.699 Ac
-3.410 -2.943 0.402 Ac
0.000 0.000 0.000 Ce
0.529 -7.529 0.230 Se
-2.591 -4.361 -2.258 Se
0.884 -1.372 -2.550 Se
1.888 -6.276 -3.751 Se
4.004 -4.539 -0.062 Se
-0.475 -2.625 1.431 Se
```

No. 7
Material: MgBiIr2
Method: DFT, PBE
State: optimized geometry

As for the final energy: -22.79 eV per cell. The formation energy is 0.10 eV/atom. For the density of states at the Fermi level, the calculation gives 4.2 states/eV/cell. As for the space group: Fm-3m.

Geometry as POSCAR:
```
MgBiIr2
1.0
0.000 3.289 3.289
3.289 0.000 3.289
3.289 3.289 0.000
Mg Ir Bi
1 2 1
Cartesian
0.000 0.000 0.000 Mg
1.644 1.644 1.644 Ir
4.933 4.933 4.933 Ir
3.289 3.289 3.289 Bi
```

No. 8
Material: LaAl9Rh2
Method: DFT, PBE
State: optimized geometry

As for the final energy: -120.72 eV per cell. The formation energy is -0.59 eV/atom. For the density of states at the Fermi level, the calculation gives 12.1 states/eV/cell. As for the space group: I4_1/amd.

Geometry as POSCAR:
```
LaAl9Rh2
1.0
-2.763 0.251 6.508
-8.091 2.128 0.328
-3.327 -7.189 2.710
La Al Rh
2 18 4
Cartesian
-1.382 0.125 3.254 La
-6.400 -2.468 3.146 La
-7.782 -2.343 6.400 Al
0.000 0.000 0.000 Al
-9.734 -2.898 2.223 Al
-3.408 -2.007 4.875 Al
-5.243 -3.620 6.080 Al
-9.280 -1.159 4.271 Al
-10.630 -2.229 6.633 Al
-3.210 -2.613 2.107 Al
-8.707 -0.354 1.609 Al
-3.751 -4.613 3.877 Al
-9.465 -4.506 7.215 Al
-4.374 -0.336 1.525 Al
-5.866 -5.911 3.029 Al
-6.592 0.944 2.457 Al
-8.570 -5.175 2.805 Al
-4.572 0.270 4.293 Al
-7.165 0.139 5.119 Al
-7.358 -4.919 5.232 Al
-6.936 -4.640 7.809 Rh
-9.318 0.018 6.618 Rh
-5.272 -1.046 6.454 Rh
-9.600 -3.702 4.719 Rh
```

No. 9
Material: MgCo2Si
Method: DFT, PBE
State: optimized geometry

As for the final energy: -22.56 eV per cell. As for the uncorrected formation energy: -0.3317 eV/atom. For the density of states at the Fermi level, the calculation gives 2.2 states/eV/cell. As for the space group: P4/mmm.

Geometry as POSCAR:
```
MgCo2Si
1.0
-0.889 2.071 -1.656
-2.398 0.117 1.434
2.500 4.143 3.841
Si Co Mg
1 2 1
Cartesian
0.232 4.202 2.770 Si
2.401 3.979 3.688 Co
1.350 2.236 2.073 Co
-1.018 2.130 0.850 Mg
```

No. 10
Material: Li3VCd
Method: DFT, PBE
State: optimized geometry

As for the final energy: -12.17 eV per cell. The formation energy is 0.72 eV/atom. For the density of states at the Fermi level, the calculation gives 4.3 states/eV/cell. As for the space group: Pm-3m.

Geometry as POSCAR:
```
Li3VCd
1.0
4.872 0.000 0.000
0.000 4.872 0.000
0.000 0.000 4.872
Cd Li V
1 3 1
Cartesian
0.000 0.000 0.000 Cd
0.000 2.436 0.000 Li
0.000 0.000 2.436 Li
2.436 0.000 0.000 Li
2.436 2.436 2.436 V
```

No. 11
Material: IrC
Method: DFT, PBE
State: optimized geometry

As for the final energy: -47.78 eV per cell. The formation energy is 1.08 eV/atom. For the density of states at the Fermi level, the calculation gives 5.3 states/eV/cell. As for the space group: Pm-3m.

Geometry as POSCAR:
```
IrC
1.0
4.141 0.000 0.000
0.000 4.141 0.000
0.000 0.000 4.141
Ir C
3 3
Cartesian
0.000 2.070 0.000 Ir
0.000 0.000 2.070 Ir
2.070 0.000 0.000 Ir
2.070 0.000 2.070 C
2.070 2.070 0.000 C
0.000 2.070 2.070 C
```

No. 12
Material: TaMnRe2
Method: DFT, PBE
State: optimized geometry

As for the final energy: -44.11 eV per cell. The formation energy is 0.45 eV/atom. For the density of states at the Fermi level, the calculation gives 3.2 states/eV/cell. As for the space group: Immm.

Geometry as POSCAR:
```
TaMnRe2
1.0
-4.426 -3.068 -2.550
4.945 -1.064 3.150
2.390 3.095 4.496
Ta Mn Re
1 1 2
Cartesian
3.667 1.015 3.823 Ta
0.000 0.000 0.000 Mn
1.543 0.427 1.608 Re
5.792 1.604 6.038 Re
```

No. 13
Material: Ti3HgI
Method: DFT, PBE
State: optimized geometry

As for the final energy: -20.86 eV per cell. As for the uncorrected formation energy: 0.9343 eV/atom. For the density of states at the Fermi level, the calculation gives 5.6 states/eV/cell. As for the space group: Pm-3m.

Geometry as POSCAR:
```
Ti3HgI
1.0
4.983 0.000 0.000
0.000 4.983 0.000
0.000 0.000 4.983
I Hg Ti
1 1 3
Cartesian
0.000 0.000 0.000 I
2.492 2.492 2.492 Hg
0.000 2.492 0.000 Ti
0.000 0.000 2.492 Ti
2.492 0.000 0.000 Ti
```

No. 14
Material: KNi2Pt
Method: DFT, PBE
State: optimized geometry

As for the final energy: -15.44 eV per cell. The formation energy is 0.82 eV/atom. For the density of states at the Fermi level, the calculation gives 5.6 states/eV/cell. As for the space group: I-4m2.

Geometry as POSCAR:
```
KNi2Pt
1.0
5.016 0.026 0.000
1.785 4.688 0.000
-3.401 -2.357 2.836
K Ni Pt
1 2 1
Cartesian
2.508 0.013 1.418 K
0.000 0.000 0.000 Ni
0.892 2.344 1.418 Ni
3.401 2.357 0.000 Pt
```

No. 15
Material: NaSb2Au6
Method: DFT, PBE
State: optimized geometry

As for the final energy: -29.82 eV per cell. As for the uncorrected formation energy: -0.0653 eV/atom. For the density of states at the Fermi level, the calculation gives 3.2 states/eV/cell. As for the space group: C2/m.

Geometry as POSCAR:
```
NaSb2Au6
1.0
5.520 -0.092 0.584
0.622 5.824 1.677
0.055 -0.126 6.090
Na Sb Au
1 2 6
Cartesian
5.520 -0.092 0.584 Na
1.443 3.433 4.812 Sb
4.754 2.173 3.539 Sb
1.436 0.403 3.149 Au
4.761 5.203 5.202 Au
4.541 2.899 6.912 Au
3.276 4.670 2.791 Au
2.921 0.936 5.561 Au
1.656 2.707 1.439 Au
```

No. 16
Material: BaCu12Si7
Method: DFT, PBE
State: optimized geometry

As for the final energy: -87.37 eV per cell. As for the uncorrected formation energy: 0.0834 eV/atom. For the density of states at the Fermi level, the calculation gives 5.9 states/eV/cell. As for the space group: R-3m.

Geometry as POSCAR:
```
BaCu12Si7
1.0
6.132 0.000 -1.694
-3.010 6.285 -2.933
-0.112 0.000 7.560
Ba Cu Si
1 12 7
Cartesian
0.000 0.000 0.000 Ba
0.000 3.306 0.000 Cu
-0.874 1.653 4.800 Cu
1.495 4.190 -2.923 Cu
2.593 0.000 1.793 Cu
0.762 1.653 2.760 Cu
-1.495 4.190 2.923 Cu
4.505 2.095 0.010 Cu
2.248 4.632 0.173 Cu
0.417 6.285 1.139 Cu
1.515 2.095 5.855 Cu
3.884 4.632 -1.867 Cu
3.010 2.978 2.933 Cu
-0.821 4.036 -2.191 Si
4.980 0.000 1.318 Si
0.821 4.036 2.191 Si
3.066 0.000 -0.847 Si
2.189 2.249 0.742 Si
-1.970 6.285 1.615 Si
3.831 2.248 5.123 Si
```

No. 17
Material: SrTe2P
Method: DFT, PBE
State: optimized geometry

As for the final energy: -14.95 eV per cell. As for the uncorrected formation energy: -0.3944 eV/atom. For the density of states at the Fermi level, the calculation gives 2.1 states/eV/cell. As for the space group: P4mm.

Geometry as POSCAR:
```
SrTe2P
1.0
-2.400 0.823 2.765
-0.090 -3.616 0.999
6.925 1.376 5.602
Sr Te P
1 2 1
Cartesian
3.808 -0.393 5.969 Sr
6.580 1.307 5.323 Te
1.253 -0.900 3.903 Te
3.181 0.632 2.574 P
```

No. 18
Material: TbCeDyTl
Method: DFT, PBE
State: optimized geometry

As for the final energy: -17.46 eV per cell. The formation energy is 0.02 eV/atom. For the density of states at the Fermi level, the calculation gives 6.6 states/eV/cell. As for the space group: F-43m.

Geometry as POSCAR:
```
TbCeDyTl
1.0
-2.954 -3.165 -3.249
0.219 -5.382 0.534
-4.252 -2.697 1.985
Tl Tb Ce Dy
1 1 1 1
Cartesian
-3.494 -5.622 -0.364 Tl
-5.241 -8.433 -0.547 Tb
0.000 0.000 0.000 Ce
-1.747 -2.811 -0.182 Dy
```

No. 19
Material: Re2PbCl
Method: DFT, PBE
State: optimized geometry

As for the final energy: -25.16 eV per cell. As for the uncorrected formation energy: 1.3215 eV/atom. For the density of states at the Fermi level, the calculation gives 5.2 states/eV/cell. As for the space group: I-4m2.

Geometry as POSCAR:
```
Re2PbCl
1.0
-2.411 0.106 -4.125
-1.015 -4.670 -0.056
-1.011 2.854 3.697
Cl Pb Re
1 1 2
Cartesian
-1.713 -2.282 -2.090 Cl
-2.568 0.339 -1.259 Pb
0.000 0.000 0.000 Re
-1.869 -2.049 0.775 Re
```

No. 20
Material: Ti6Zn2O
Method: DFT, PBE
State: optimized geometry

As for the final energy: -59.23 eV per cell. As for the uncorrected formation energy: -0.4835 eV/atom. For the density of states at the Fermi level, the calculation gives 11.2 states/eV/cell. As for the space group: Amm2.

Geometry as POSCAR:
```
Ti6Zn2O
1.0
-1.662 -1.734 1.861
4.578 -5.530 -1.064
1.059 4.627 5.259
Ti Zn O
6 2 1
Cartesian
1.816 -4.064 0.315 Ti
1.403 -1.224 2.593 Ti
4.386 -3.603 3.041 Ti
1.116 -1.348 -0.259 Ti
4.304 -0.641 3.247 Ti
4.775 -4.418 0.148 Ti
2.185 1.241 3.109 Zn
3.423 -2.109 1.093 Zn
-0.664 -1.069 0.891 O
```

No. 21
Material: K2NaMgHg6
Method: DFT, PBE
State: optimized geometry

As for the final energy: -7.71 eV per cell. The formation energy is -0.08 eV/atom. For the density of states at the Fermi level, the calculation gives 6.8 states/eV/cell. As for the space group: Fm-3m.

Geometry as POSCAR:
```
K2NaMgHg6
1.0
8.021 0.000 0.000
0.001 8.021 0.000
4.011 4.010 5.672
K Na Mg Hg
2 1 1 6
Cartesian
4.011 8.021 2.836 K
8.021 4.010 2.836 K
0.000 0.000 0.000 Na
4.011 4.010 0.000 Mg
2.038 5.983 0.000 Hg
5.983 5.983 0.000 Hg
4.011 4.010 2.790 Hg
5.983 2.038 0.000 Hg
2.038 2.038 0.000 Hg
8.022 8.021 2.882 Hg
```

No. 22
Material: BeTc2Se
Method: DFT, PBE
State: optimized geometry

As for the final energy: -26.21 eV per cell. As for the uncorrected formation energy: 0.4327 eV/atom. For the density of states at the Fermi level, the calculation gives 3.4 states/eV/cell. As for the space group: Cmm2.

Geometry as POSCAR:
```
BeTc2Se
1.0
-0.079 2.693 -0.629
-2.297 -0.972 1.198
3.119 1.838 7.473
Be Tc Se
1 2 1
Cartesian
1.523 0.897 3.649 Be
0.042 0.025 0.100 Tc
-0.352 1.354 2.288 Tc
1.089 2.203 5.741 Se
```

No. 23
Material: Rb2ErZn2S4
Method: DFT, PBE
State: optimized geometry

As for the final energy: -35.96 eV per cell. As for the uncorrected formation energy: -1.1558 eV/atom. For the density of states at the Fermi level, the calculation gives 3.8 states/eV/cell. As for the space group: C2/m.

Geometry as POSCAR:
```
Rb2ErZn2S4
1.0
-3.790 -0.294 -0.836
0.288 -7.970 1.496
0.139 4.463 6.860
Rb Er Zn S
2 1 2 4
Cartesian
-0.290 -3.354 2.492 Rb
-3.073 -0.447 5.028 Rb
0.000 0.000 0.000 Er
-2.530 1.253 1.969 Zn
-0.833 -5.054 5.550 Zn
-0.590 -0.021 2.682 S
-2.773 -3.780 4.837 S
-1.782 -6.192 1.194 S
-1.581 2.391 6.325 S
```

No. 24
Material: KCoIr
Method: DFT, PBE
State: optimized geometry

As for the final energy: -14.61 eV per cell. The formation energy is 0.82 eV/atom. For the density of states at the Fermi level, the calculation gives 3.2 states/eV/cell. As for the space group: P3m1.

Geometry as POSCAR:
```
KCoIr
1.0
-0.875 -2.650 0.284
1.540 1.193 2.019
-6.464 2.506 3.450
Co Ir K
1 1 1
Cartesian
-0.260 0.101 0.139 Co
-1.987 -0.626 1.885 Ir
-3.553 1.574 3.729 K
```